1.
Ho3GaSb: optimized geometry, PBE.

a b c (Å): 8.333 4.225 9.192
angles (deg): 90.00 114.65 90.00
Fractional positions:
1 Ho 0.160 0.250 0.494
2 Ho 0.178 0.250 0.121
3 Ho 0.295 0.750 0.848
4 Ho 0.705 0.250 0.152
5 Ho 0.822 0.750 0.879
6 Ho 0.840 0.750 0.506
7 Ga 0.011 0.250 0.757
8 Ga 0.989 0.750 0.243
9 Sb 0.472 0.750 0.221
10 Sb 0.528 0.250 0.779

## Properties
The uncorrected formation energy comes out at -0.560 eV per atom. The density of states at the Fermi level is 3.6 states/eV/f.u.

=====

2.
Pr2Zn3Cd5: optimized geometry, PBE.

a b c (Å): 9.194 9.194 9.194
angles (deg): 98.95 94.18 140.49
Fractional positions:
1 Pr 0.129 0.246 0.375
2 Pr 0.371 0.746 0.117
3 Pr 0.629 0.254 0.883
4 Pr 0.871 0.754 0.625
5 Zn 0.124 0.860 0.983
6 Zn 0.250 0.750 0.500
7 Zn 0.376 0.360 0.736
8 Zn 0.624 0.640 0.264
9 Zn 0.750 0.250 0.500
10 Zn 0.876 0.140 0.017
11 Cd 0.003 0.250 0.753
12 Cd 0.115 0.642 0.757
13 Cd 0.250 0.250 0.000
14 Cd 0.385 0.142 0.528
15 Cd 0.497 0.250 0.247
16 Cd 0.503 0.750 0.753
17 Cd 0.615 0.858 0.472
18 Cd 0.750 0.750 0.000
19 Cd 0.885 0.358 0.243
20 Cd 0.997 0.750 0.247

## Properties
The density of states at the Fermi level is 6.0 states/eV/f.u. Its energy of formation is -0.235 eV/atom.

=====

3.
VBOs2: optimized geometry, PBE.

a b c (Å): 5.333 5.333 5.333
angles (deg): 100.23 100.23 130.15
Fractional positions:
1 V 0.000 0.000 0.000
2 V 0.750 0.250 0.500
3 B 0.250 0.750 0.500
4 B 0.500 0.500 0.000
5 Os 0.224 0.625 0.099
6 Os 0.375 0.474 0.599
7 Os 0.526 0.125 0.901
8 Os 0.875 0.776 0.401

## Properties
The density of states at the Fermi level is 4.1 states/eV/f.u. Its energy of formation is 0.130 eV/atom.